1.
CaHoTm2Tl4: relaxed, GGA-PBE.

Cell lengths 9.301, 9.301, 9.301 Å; angles 33.48, 33.48, 33.48 degrees
Fractional positions:
Ca  0.000  0.000  0.000
Ho  0.500  0.500  0.500
Tm  0.251  0.251  0.251
Tm  0.749  0.749  0.749
Tl  0.126  0.126  0.126
Tl  0.376  0.376  0.376
Tl  0.624  0.624  0.624
Tl  0.874  0.874  0.874

Values from the calculation:
E_form	-0.33	eV per atom

***

2.
Sm8Tc2Ag: relaxed, GGA-PBE.

Cell lengths 7.879, 7.879, 5.786 Å; angles 98.89, 98.89, 112.08 degrees
Fractional positions:
Sm  0.000  0.000  0.000
Sm  0.050  0.312  0.612
Sm  0.143  0.618  0.202
Sm  0.312  0.050  0.612
Sm  0.449  0.711  0.792
Sm  0.618  0.143  0.202
Sm  0.711  0.449  0.792
Sm  0.760  0.760  0.404
Tc  0.070  0.691  0.702
Tc  0.691  0.070  0.702
Ag  0.380  0.380  0.207

Values from the calculation:
E_form	0.03	eV per atom

***

Number 1: electronic total energy -3.45 eV per atom. Number 2: electronic total energy -5.55 eV per atom.